First-principles (PBE) data for a relaxed LiPmSiPt2 crystal, as listed in the Alexandria database.

Computed properties:
raw formation energy = -0.9448 eV/atom
symmetry = I-4m2, No. 119

extended XYZ file:
```
5
Lattice="-2.0492 2.0492 5.3824 2.0492 -2.0492 5.3824 2.0492 2.0492 -5.3824" Properties=species:S:1:pos:R:3 pbc="T T T"
Li 0.0000 0.0000 0.0000
Pm 2.0492 0.0000 2.6912
Si 0.0000 0.0000 5.3824
Pt 0.0000 2.0492 1.3373
Pt 0.0000 2.0492 4.0451
```



First-principles (PBE) data for a relaxed Sc11Tl9Hg4 crystal, as listed in the Alexandria database.

Computed properties:
symmetry = Cmmm, No. 65
formation energy from the elements = -0.259 eV per atom

extended XYZ file:
```
24
Lattice="7.3855 -11.0324 0.0000 7.3855 11.0324 0.0000 0.0000 0.0000 3.4317" Properties=species:S:1:pos:R:3 pbc="T T T"
Sc 0.0000 0.0000 0.0000
Sc 3.3943 3.8870 0.0000
Sc 7.3855 7.1208 0.0000
Sc 3.5841 0.0000 0.0000
Sc 7.3855 2.8598 0.0000
Sc 3.3943 -3.8870 0.0000
Sc 11.3766 3.8870 0.0000
Sc 7.3855 -2.8598 0.0000
Sc 11.1869 0.0000 0.0000
Sc 7.3855 -7.1208 0.0000
Sc 11.3766 -3.8870 0.0000
Tl 1.7172 1.9324 1.7159
Tl 5.7143 5.1045 1.7159
Tl 1.7172 -1.9324 1.7159
Tl 9.0567 5.1045 1.7159
Tl 7.3855 0.0000 1.7159
Tl 5.7143 -5.1045 1.7159
Tl 13.0537 1.9324 1.7159
Tl 9.0567 -5.1045 1.7159
Tl 13.0537 -1.9324 1.7159
Hg 5.0121 2.0133 1.7159
Hg 5.0121 -2.0133 1.7159
Hg 9.7589 2.0133 1.7159
Hg 9.7589 -2.0133 1.7159
```



First-principles (PBE) data for a relaxed LiYNiBi crystal, as listed in the Alexandria database.

Computed properties:
symmetry = F-43m, No. 216
formation energy from the elements = -0.344 eV per atom

extended XYZ file:
```
4
Lattice="0.0000 3.3749 3.3749 3.3749 0.0000 3.3749 3.3749 3.3749 0.0000" Properties=species:S:1:pos:R:3 pbc="T T T"
Li 0.0000 0.0000 0.0000
Y 1.6875 1.6875 1.6875
Ni 3.3749 3.3749 3.3749
Bi 5.0624 5.0624 5.0624
```



First-principles (PBE) data for a relaxed ThPdAu crystal, as listed in the Alexandria database.

Computed properties:
relative energy among the computed polymorphs = 14 kJ/mol of formula units
symmetry = I4mm, No. 107
formation energy from the elements = -0.734 eV per atom

extended XYZ file:
```
3
Lattice="-1.9117 1.9117 4.6144 1.9117 -1.9117 4.6144 1.9117 1.9117 -4.6144" Properties=species:S:1:pos:R:3 pbc="T T T"
Th 0.0000 0.0000 0.0000
Pd 0.0000 0.0000 6.0826
Au 0.0000 0.0000 3.0457
```



First-principles (PBE) data for a relaxed Pm2Pr8Ho crystal, as listed in the Alexandria database.

Computed properties:
relative energy among the computed polymorphs = 0 kJ/mol of formula units
symmetry = Immm, No. 71
formation energy from the elements = 0.107 eV per atom

extended XYZ file:
```
11
Lattice="-2.8896 4.1979 8.1430 2.8896 -4.1979 8.1430 2.8896 4.1979 -8.1430" Properties=species:S:1:pos:R:3 pbc="T T T"
Pm 0.0000 0.0000 3.2818
Pm 0.0000 0.0000 13.0041
Pr 2.8896 1.7225 -2.2084
Pr 0.0000 1.7433 0.0000
Pr 2.8896 0.0000 5.5432
Pr 2.8896 1.7225 2.2084
Pr 0.0000 2.4754 5.9346
Pr 0.0000 4.1979 2.5998
Pr 0.0000 6.6525 0.0000
Pr 0.0000 2.4754 10.3513
Ho 0.0000 0.0000 8.1430
```



First-principles (PBE) data for a relaxed TaFeRe2 crystal, as listed in the Alexandria database.

Computed properties:
symmetry = P4mm, No. 99
formation energy from the elements = 0.073 eV per atom

extended XYZ file:
```
4
Lattice="2.7675 0.0000 0.0000 0.0000 2.7675 0.0000 0.0000 0.0000 7.7230" Properties=species:S:1:pos:R:3 pbc="T T T"
Ta 0.0000 0.0000 0.0000
Fe 1.3838 1.3838 1.9491
Re 0.0000 0.0000 3.5832
Re 1.3838 1.3838 5.5253
```



Number 1: magnetic moment 0.0 μB/f.u., uncorrected energy -28.9 eV/cell, D(E_F) 2.6 states/eV per cell. Number 2: magnetic moment 1.8 μB/f.u., uncorrected energy -98.4 eV/cell, D(E_F) 19.3 states/eV per cell. Number 3: magnetic moment 0.0 μB/f.u., uncorrected energy -19.4 eV/cell, D(E_F) 2.4 states/eV per cell. Number 4: magnetic moment 0.0 μB/f.u., uncorrected energy -18.1 eV/cell, D(E_F) 1.8 states/eV per cell. Number 5: magnetic moment 0.0 μB/f.u., uncorrected energy -51.1 eV/cell, D(E_F) 17.1 states/eV per cell. Number 6: magnetic moment 0.8 μB/f.u., uncorrected energy -44.9 eV/cell, D(E_F) 4.3 states/eV per cell.